Arrangement a

## YZr2Cu (PBE)

Data for YZr2Cu after structural relaxation.

Summary:
Magnetization in μB per cell: 1.5
Calculated density in g/cm3: 6.324

```
YZr2Cu
1.0
0.000 3.530 3.530
3.530 0.000 3.530
3.530 3.530 0.000
Y Zr Cu
1 2 1
Direct
0.000 0.000 0.000
0.250 0.250 0.250
0.500 0.500 0.500
0.750 0.750 0.750
```


Arrangement b

## YZr2Cu (PBE)

Data for YZr2Cu after structural relaxation.

Summary:
Magnetization in μB per cell: 0.0
Calculated density in g/cm3: 6.311

```
YZr2Cu
1.0
-2.120 2.120 4.902
2.120 -2.120 4.902
2.120 2.120 -4.902
Y Zr Cu
1 2 1
Direct
0.000 0.000 0.000
0.250 0.750 0.500
0.750 0.250 0.500
0.500 0.500 0.000
```


Arrangement c

## YZr2Cu (PBE)

Data for YZr2Cu after structural relaxation.

Summary:
Magnetization in μB per cell: 0.0
Calculated density in g/cm3: 6.229

```
YZr2Cu
1.0
2.900 -5.404 0.000
2.900 5.404 0.000
-1.506 0.000 2.848
Y Zr Cu
1 2 1
Direct
0.000 0.000 0.000
0.000 0.500 0.500
0.500 0.000 0.500
0.500 0.500 0.000
```


Stability check: which of them is least stable? arrangement a.


Arrangement a

## YZr2Cu (PBE)

Data for YZr2Cu after structural relaxation.

Summary:
Magnetization in μB per cell: 0.0
Calculated density in g/cm3: 6.129

```
YZr2Cu
1.0
1.636 0.945 9.785
-1.636 0.945 9.785
0.000 -1.889 9.785
Y Zr Cu
1 2 1
Direct
0.000 0.000 0.000
0.237 0.237 0.237
0.763 0.763 0.763
0.500 0.500 0.500
```


Arrangement b

## YZr2Cu (PBE)

Data for YZr2Cu after structural relaxation.

Summary:
Magnetization in μB per cell: 0.0
Calculated density in g/cm3: 6.412

```
YZr2Cu
1.0
5.065 0.000 0.000
0.000 5.065 0.000
0.000 0.000 3.380
Y Zr Cu
1 2 1
Direct
0.000 0.000 0.000
0.000 0.500 0.500
0.500 0.000 0.500
0.500 0.500 0.000
```


Arrangement c

## YZr2Cu (PBE)

Data for YZr2Cu after structural relaxation.

Summary:
Magnetization in μB per cell: 0.0
Calculated density in g/cm3: 6.056

```
YZr2Cu
1.0
1.664 0.961 9.569
-1.664 0.961 9.569
0.000 -1.922 9.569
Y Zr Cu
1 2 1
Direct
0.000 0.000 0.000
0.518 0.518 0.518
0.765 0.765 0.765
0.255 0.255 0.255
```


Stability check: which of them is least stable? arrangement b.


Arrangement a

## YZr2Cu (PBE)

Data for YZr2Cu after structural relaxation.

Summary:
Magnetization in μB per cell: 0.0
Calculated density in g/cm3: 6.367

```
YZr2Cu
1.0
-2.225 2.225 4.412
2.225 -2.225 4.412
2.225 2.225 -4.412
Y Zr Cu
1 2 1
Direct
0.000 0.000 0.000
0.250 0.750 0.500
0.500 0.500 0.000
0.750 0.250 0.500
```


Arrangement b

## YZr2Cu (PBE)

Data for YZr2Cu after structural relaxation.

Summary:
Magnetization in μB per cell: 0.0
Calculated density in g/cm3: 6.208

```
YZr2Cu
1.0
3.281 0.000 0.000
0.000 5.196 0.000
-0.808 0.000 5.254
Y Zr Cu
1 2 1
Direct
0.000 0.000 0.000
0.324 0.500 0.731
0.676 0.500 0.269
0.500 0.000 0.500
```


Arrangement c

## YZr2Cu (PBE)

Data for YZr2Cu after structural relaxation.

Summary:
Magnetization in μB per cell: 0.0
Calculated density in g/cm3: 6.268

```
YZr2Cu
1.0
3.065 -4.551 0.000
3.065 4.551 0.000
0.000 0.000 3.181
Y Zr Cu
1 2 1
Direct
0.000 0.000 0.000
0.000 0.500 0.500
0.500 0.000 0.500
0.500 0.500 0.000
```


Stability check: which of them is least stable? arrangement c.


Arrangement a

## YZr2Cu (PBE)

Data for YZr2Cu after structural relaxation.

Summary:
Magnetization in μB per cell: 0.0
Calculated density in g/cm3: 6.339

```
YZr2Cu
1.0
4.343 0.000 0.000
0.000 4.343 0.000
0.000 0.000 4.651
Y Zr Cu
1 2 1
Direct
0.000 0.000 0.000
0.000 0.500 0.500
0.500 0.000 0.500
0.500 0.500 0.000
```


Arrangement b

## YZr2Cu (PBE)

Data for YZr2Cu after structural relaxation.

Summary:
Magnetization in μB per cell: 0.0
Calculated density in g/cm3: 6.268

```
YZr2Cu
1.0
3.304 0.000 0.000
0.000 4.983 0.000
0.000 0.000 5.389
Y Zr Cu
1 2 1
Direct
0.000 0.000 0.000
0.000 0.500 0.500
0.500 0.000 0.500
0.500 0.500 0.000
```


Stability check: which of them is least stable? arrangement a.